1.
## MnAl2Cl (PBE)

Data for MnAl2Cl after structural relaxation.

Lattice parameters (Å, degrees): 7.9614 7.9614 7.9614 22.21 22.21 22.21
Closest atoms and distances in Å follow each position.
Fractional coordinates of all 4 atoms:
Al  0.4926  0.4926  0.4926  3 Mn 2.50, 3 Cl 2.76
Al  0.0074  0.0074  0.0074  3 Mn 2.50, 3 Cl 2.76
Cl  0.2500  0.2500  0.2500  6 Al 2.76, 6 Cl 3.07
Mn  0.7500  0.7500  0.7500  6 Al 2.50

The calculation puts the theoretical density at 3.79 Mg/m³. As for the symmetry: No. 166.


2.
## MnAl2Cl (PBE)

Data for MnAl2Cl after structural relaxation.

Lattice parameters (Å, degrees): 5.3908 5.3908 5.3908 136.86 136.86 62.65
Closest atoms and distances in Å follow each position.
Fractional coordinates of all 4 atoms:
Cl  0.2500  0.7500  0.5000  4 Mn 2.80, 8 Al 3.04
Mn  0.7500  0.2500  0.5000  4 Cl 2.80, 8 Al 3.04
Al  0.5000  0.5000  0.0000  4 Al 2.80, 4 Cl 3.04, 4 Mn 3.04
Al  0.0000  0.0000  0.0000  4 Al 2.80, 4 Mn 3.04, 4 Cl 3.04

The calculation puts the theoretical density at 3.31 Mg/m³. As for the symmetry: No. 139.


3.
## MnAl2Cl (PBE)

Data for MnAl2Cl after structural relaxation.

Lattice parameters (Å, degrees): 7.2835 7.2835 5.8972 51.86 51.86 90.00
Closest atoms and distances in Å follow each position.
Fractional coordinates of all 8 atoms:
Cl  0.2500  0.7500  0.5000  4 Al 2.73, 2 Mn 2.87
Al  0.8750  0.8866  0.7500  2 Mn 2.62, 2 Cl 2.73, 2 Al 2.88
Cl  0.5000  0.5000  0.0000  4 Al 2.73, 2 Mn 2.87
Mn  0.7500  0.2500  0.5000  4 Al 2.62, 2 Cl 2.87
Al  0.3750  0.3634  0.7500  2 Mn 2.62, 2 Cl 2.73, 2 Al 2.88
Al  0.6366  0.1250  0.2500  2 Mn 2.62, 2 Cl 2.73, 2 Al 2.88
Mn  0.0000  0.0000  0.0000  4 Al 2.62, 2 Cl 2.87
Al  0.1134  0.6250  0.2500  2 Mn 2.62, 2 Cl 2.73, 2 Al 2.88

The calculation puts the theoretical density at 3.15 Mg/m³. As for the symmetry: No. 122.


4.
## MnAl2Cl (PBE)

Data for MnAl2Cl after structural relaxation.

Lattice parameters (Å, degrees): 5.5742 5.5742 4.4867 83.86 83.86 30.84
Closest atoms and distances in Å follow each position.
Fractional coordinates of all 4 atoms:
Al  0.9634  0.9634  0.0113  1 Cl 2.69, 6 Al 2.79-2.96, 2 Mn 2.84
Al  0.5366  0.5366  0.4887  1 Cl 2.69, 6 Al 2.79-2.96, 2 Mn 2.84
Cl  0.7500  0.7500  0.7500  4 Mn 2.69, 2 Al 2.69, 2 Cl 2.96
Mn  0.2500  0.2500  0.2500  4 Cl 2.69, 4 Al 2.84, 2 Mn 2.96

The calculation puts the theoretical density at 3.37 Mg/m³. As for the symmetry: No. 12.


On energetic grounds, 1 is preferred over the next structure by 26.7 kJ/mol of atoms.


1.
## MnAl2Cl (PBE)

Data for MnAl2Cl after structural relaxation.

Lattice parameters (Å, degrees): 7.3444 4.8714 2.8411 89.92 67.36 129.91
Closest atoms and distances in Å follow each position.
Fractional coordinates of all 4 atoms:
Al  0.5000  0.0000  0.5000  4 Mn 2.82, 4 Cl 2.82, 2 Al 2.84
Cl  0.0000  0.5000  0.5000  8 Al 2.82, 2 Cl 2.84
Al  0.0000  0.0000  0.0000  4 Cl 2.82, 4 Mn 2.82, 2 Al 2.84
Mn  0.5000  0.5000  0.0000  8 Al 2.82, 2 Mn 2.84

The calculation puts the theoretical density at 3.56 Mg/m³. As for the symmetry: No. 12.


2.
## MnAl2Cl (PBE)

Data for MnAl2Cl after structural relaxation.

Lattice parameters (Å, degrees): 4.4727 4.4727 4.4727 60.00 60.00 60.00
Closest atoms and distances in Å follow each position.
Fractional coordinates of all 4 atoms:
Mn  0.5000  0.5000  0.5000  8 Al 2.74
Al  0.2500  0.2500  0.2500  4 Cl 2.74, 4 Mn 2.74
Cl  0.0000  0.0000  0.0000  8 Al 2.74
Al  0.7500  0.7500  0.7500  4 Cl 2.74, 4 Mn 2.74

The calculation puts the theoretical density at 3.79 Mg/m³. As for the symmetry: No. 225.


On energetic grounds, 1 is preferred over the next structure by 70.5 kJ/mol of atoms.